## ZnCuSb3 (GGA-PBE)

Data for an optimized crystal structure of ZnCuSb3.

Results
**DOS(E_F)**: 3.5 states/eV/f.u.
**Crystal system**: cubic
**Total magnetization**: 0.000 μB per cell
**Electronic total energy**: -3.001 eV/atom
**Energy relative to the elements, uncorrected**: 547 meV/atom
**ΔE to the lowest computed polymorph**: 0.00 eV per formula unit
**Space group**: No. 221

```
data_ZnCuSb3
_chemical_formula_sum 'Zn1 Cu1 Sb3'
_symmetry_space_group_name_H-M 'P 1'
_symmetry_Int_Tables_number 1
_cell_length_a 5.1072
_cell_length_b 5.1072
_cell_length_c 5.1072
_cell_angle_alpha 90.00
_cell_angle_beta 90.00
_cell_angle_gamma 90.00
loop_
_symmetry_equiv_pos_as_xyz
'x,y,z'
loop_
_atom_site_label
_atom_site_type_symbol
_atom_site_fract_x
_atom_site_fract_y
_atom_site_fract_z
Sb1 Sb 0.0000 0.5000 0.0000
Sb2 Sb 0.0000 0.0000 0.5000
Sb3 Sb 0.5000 0.0000 0.0000
Zn1 Zn 0.5000 0.5000 0.5000
Cu1 Cu 0.0000 0.0000 0.0000
```



## BeAlVCo (GGA-PBE)

Data for an optimized crystal structure of BeAlVCo.

Results
**DOS(E_F)**: 4.0 states/eV/f.u.
**Crystal system**: cubic
**Total magnetization**: 0.968 μB per cell
**Electronic total energy**: -6.178 eV/atom
**E_form**: -254 meV per atom
**Space group**: No. 216

```
data_BeAlVCo
_chemical_formula_sum 'Be1 Al1 V1 Co1'
_symmetry_space_group_name_H-M 'P 1'
_symmetry_Int_Tables_number 1
_cell_length_a 4.0168
_cell_length_b 4.0168
_cell_length_c 4.0168
_cell_angle_alpha 60.00
_cell_angle_beta 60.00
_cell_angle_gamma 60.00
loop_
_symmetry_equiv_pos_as_xyz
'x,y,z'
loop_
_atom_site_label
_atom_site_type_symbol
_atom_site_fract_x
_atom_site_fract_y
_atom_site_fract_z
Be1 Be 0.0000 0.0000 0.0000
Co1 Co 0.5000 0.5000 0.5000
Al1 Al 0.2500 0.2500 0.2500
V1 V 0.7500 0.7500 0.7500
```



## MgAlMo2 (GGA-PBE)

Data for an optimized crystal structure of MgAlMo2.

Results
**DOS(E_F)**: 2.6 states/eV/f.u.
**Crystal system**: orthorhombic
**Total magnetization**: 0.000 μB per cell
**Electronic total energy**: -6.617 eV/atom
**E_form**: 133 meV per atom
**ΔE to the lowest computed polymorph**: 0.50 eV per formula unit
**Space group**: No. 65

```
data_MgAlMo2
_chemical_formula_sum 'Mg1 Al1 Mo2'
_symmetry_space_group_name_H-M 'P 1'
_symmetry_Int_Tables_number 1
_cell_length_a 5.1420
_cell_length_b 5.1420
_cell_length_c 2.7111
_cell_angle_alpha 90.00
_cell_angle_beta 90.00
_cell_angle_gamma 116.06
loop_
_symmetry_equiv_pos_as_xyz
'x,y,z'
loop_
_atom_site_label
_atom_site_type_symbol
_atom_site_fract_x
_atom_site_fract_y
_atom_site_fract_z
Al1 Al 0.5000 0.0000 0.5000
Mg1 Mg 0.0000 0.5000 0.5000
Mo1 Mo 0.0000 0.0000 0.0000
Mo2 Mo 0.5000 0.5000 0.0000
```